(1)
Here is an optimized crystal structure of Mo2AsW2 from Alexandria via LeMat-Bulk. Energies are from PBE.

Properties
- Energy of formation from the pure elements: 3.4 eV/f.u.
- Total energy: -9.76 eV/atom
- Crystal system: tetragonal
- Density: 12.11 g cm⁻³
- Space group: P4/mbm

```
Mo2AsW2
1.0
7.625 0.000 0.000
0.000 7.625 0.000
0.000 0.000 2.994
Mo As W
4 2 4
Direct
0.148 0.352 0.000 Mo
0.352 0.852 0.000 Mo
0.648 0.148 0.000 Mo
0.852 0.648 0.000 Mo
0.000 0.000 0.000 As
0.500 0.500 0.000 As
0.146 0.646 0.500 W
0.354 0.146 0.500 W
0.646 0.854 0.500 W
0.854 0.354 0.500 W
```


(2)
Here is an optimized crystal structure of MoAsW2 from Alexandria via LeMat-Bulk. Energies are from PBE.

Properties
- Energy of formation from the pure elements: 1.7 eV/f.u.
- Total energy: -9.91 eV/atom
- Crystal system: trigonal
- Density: 13.91 g cm⁻³
- Space group: R-3m

```
MoAsW2
1.0
1.472 0.850 8.569
-1.472 0.850 8.569
0.000 -1.700 8.569
Mo As W
1 1 2
Direct
0.000 0.000 0.000 Mo
0.500 0.500 0.500 As
0.248 0.248 0.248 W
0.752 0.752 0.752 W
```


(3)
Here is an optimized crystal structure of MoAsW2 from Alexandria via LeMat-Bulk. Energies are from PBE.

Properties
- Energy of formation from the pure elements: 1.2 eV/f.u.
- Total energy: -10.04 eV/atom
- Crystal system: tetragonal
- Density: 14.13 g cm⁻³
- Space group: P4/mmm

```
MoAsW2
1.0
3.203 0.000 0.000
0.000 3.203 0.000
0.000 0.000 6.171
Mo As W
1 1 2
Direct
0.000 0.000 0.000 Mo
0.000 0.000 0.500 As
0.500 0.500 0.253 W
0.500 0.500 0.747 W
```


(4)
Here is an optimized crystal structure of MoAsW2 from Alexandria via LeMat-Bulk. Energies are from PBE.

Properties
- Energy of formation from the pure elements: 0.9 eV/f.u.
- Total energy: -10.12 eV/atom
- Crystal system: orthorhombic
- Density: 14.33 g cm⁻³
- Space group: Imm2

```
MoAsW2
1.0
-1.601 2.147 4.540
1.601 -2.147 4.540
1.601 2.147 -4.540
Mo As W
1 1 2
Direct
0.000 0.000 0.000 Mo
0.245 0.745 0.500 As
0.491 0.491 0.000 W
0.745 0.245 0.500 W
```